Entry 1:
This record from the Alexandria database describes a relaxed Sm2DyMnN4 crystal. The functional is GGA-PBE. Values from VASP.

The structure in Quantum ESPRESSO input format:
```
&SYSTEM
  ibrav = 0, nat = 16, ntyp = 4
/
ATOMIC_SPECIES
Sm 150.36 Sm.upf
Dy 162.50 Dy.upf
Mn 54.94 Mn.upf
N 14.01 N.upf
CELL_PARAMETERS angstrom
1.7007 -5.8065 0.0000
1.7007 5.8065 0.0000
0.0000 0.0000 11.8276
ATOMIC_POSITIONS crystal
Sm 0.1326 0.8674 0.5433
Sm 0.1326 0.8674 0.9567
Sm 0.8674 0.1326 0.0433
Sm 0.8674 0.1326 0.4567
Dy 0.3766 0.6234 0.7500
Dy 0.6234 0.3766 0.2500
Mn 0.3462 0.6538 0.2500
Mn 0.6538 0.3462 0.7500
N 0.0816 0.9184 0.7500
N 0.2295 0.7705 0.1385
N 0.2295 0.7705 0.3615
N 0.5000 0.5000 0.0000
N 0.5000 0.5000 0.5000
N 0.7705 0.2295 0.6385
N 0.7705 0.2295 0.8615
N 0.9184 0.0816 0.2500
```

Space group ... Cmcm, No. 63
Formation energy from raw total energies ... -8.24 eV/f.u.
Crystal system ... orthorhombic



Entry 2:
This record from the Alexandria database describes a relaxed ZnCuRu2 crystal. The functional is GGA-PBE. Values from VASP.

The structure in Quantum ESPRESSO input format:
```
&SYSTEM
  ibrav = 0, nat = 8, ntyp = 3
/
ATOMIC_SPECIES
Zn 65.41 Zn.upf
Cu 63.55 Cu.upf
Ru 101.07 Ru.upf
CELL_PARAMETERS angstrom
2.7566 0.0000 0.0000
0.0000 4.5613 0.0000
0.0000 0.0000 8.8729
ATOMIC_POSITIONS crystal
Zn 0.0000 0.0000 0.0000
Zn 0.5000 0.5000 0.0000
Cu 0.0000 0.5000 0.7586
Cu 0.5000 0.0000 0.7586
Ru 0.0000 0.0000 0.5049
Ru 0.0000 0.5000 0.2553
Ru 0.5000 0.0000 0.2553
Ru 0.5000 0.5000 0.5049
```

Space group ... Cmm2, No. 35
Crystal system ... orthorhombic
DFT formation energy ... 251 meV/atom



Entry 3:
This record from the Alexandria database describes a relaxed ThSn4Hg crystal. The functional is GGA-PBE. Values from VASP.

The structure in Quantum ESPRESSO input format:
```
&SYSTEM
  ibrav = 0, nat = 6, ntyp = 3
/
ATOMIC_SPECIES
Th 232.04 Th.upf
Sn 118.71 Sn.upf
Hg 200.59 Hg.upf
CELL_PARAMETERS angstrom
0.0000 4.3520 4.3520
4.3520 0.0000 4.3520
4.3520 4.3520 0.0000
ATOMIC_POSITIONS crystal
Th 0.0000 0.0000 0.0000
Sn 0.1247 0.6251 0.6251
Sn 0.6251 0.1247 0.6251
Sn 0.6251 0.6251 0.1247
Sn 0.6251 0.6251 0.6251
Hg 0.2500 0.2500 0.2500
```

Space group ... F-43m, No. 216
Crystal system ... cubic
DFT formation energy ... -102 meV/atom



Entry 4:
This record from the Alexandria database describes a relaxed V5Mo2W4 crystal. The functional is GGA-PBE. Values from VASP.

The structure in Quantum ESPRESSO input format:
```
&SYSTEM
  ibrav = 0, nat = 11, ntyp = 3
/
ATOMIC_SPECIES
V 50.94 V.upf
Mo 95.94 Mo.upf
W 183.84 W.upf
CELL_PARAMETERS angstrom
2.6572 0.0000 0.0000
1.2926 6.8139 0.0000
1.0328 0.3376 9.1827
ATOMIC_POSITIONS crystal
V 0.0000 0.0000 0.0000
V 0.0302 0.2649 0.1775
V 0.3501 0.0877 0.7287
V 0.6499 0.9123 0.2713
V 0.9698 0.7351 0.8225
Mo 0.1405 0.1783 0.4519
Mo 0.8595 0.8217 0.5481
W 0.3242 0.5468 0.3612
W 0.4356 0.3586 0.9140
W 0.5644 0.6414 0.0860
W 0.6758 0.4532 0.6388
```

Space group ... P-1, No. 2
Crystal system ... triclinic
DFT formation energy ... 58 meV/atom
Relative energy among the computed polymorphs ... 0.000 eV per atom



Entry 5:
This record from the Alexandria database describes a relaxed RbNa2AlCd crystal. The functional is GGA-PBE. Values from VASP.

The structure in Quantum ESPRESSO input format:
```
&SYSTEM
  ibrav = 0, nat = 5, ntyp = 4
/
ATOMIC_SPECIES
Rb 85.47 Rb.upf
Na 22.99 Na.upf
Al 26.98 Al.upf
Cd 112.41 Cd.upf
CELL_PARAMETERS angstrom
6.0090 0.0000 0.0000
0.0000 6.0090 0.0000
0.0000 0.0000 5.1989
ATOMIC_POSITIONS crystal
Rb 0.0000 0.0000 0.0000
Na 0.0000 0.5000 0.5000
Na 0.5000 0.0000 0.5000
Al 0.5000 0.5000 0.5000
Cd 0.5000 0.5000 0.0000
```

Space group ... P4/mmm, No. 123
Crystal system ... tetragonal
DFT formation energy ... 117 meV/atom
Relative energy among the computed polymorphs ... 0.000 eV per atom



Entry 6:
This record from the Alexandria database describes a relaxed RbIn4Hg8 crystal. The functional is GGA-PBE. Values from VASP.

The structure in Quantum ESPRESSO input format:
```
&SYSTEM
  ibrav = 0, nat = 13, ntyp = 3
/
ATOMIC_SPECIES
Rb 85.47 Rb.upf
In 114.82 In.upf
Hg 200.59 Hg.upf
CELL_PARAMETERS angstrom
-5.4192 5.4192 3.1737
5.4192 -5.4192 3.1737
5.4192 5.4192 -3.1737
ATOMIC_POSITIONS crystal
Rb 0.0000 0.0000 0.0000
In 0.0000 0.0000 0.5000
In 0.0000 0.5000 0.0000
In 0.5000 0.0000 0.0000
In 0.5000 0.5000 0.5000
Hg 0.0000 0.3554 0.3554
Hg 0.0000 0.6446 0.6446
Hg 0.2806 0.5000 0.7806
Hg 0.3554 0.0000 0.3554
Hg 0.5000 0.2806 0.7806
Hg 0.5000 0.7194 0.2194
Hg 0.6446 0.0000 0.6446
Hg 0.7194 0.5000 0.2194
```

Space group ... I4/mmm, No. 139
Crystal system ... tetragonal
DFT formation energy ... -49 meV/atom



Entry 7:
This record from the Alexandria database describes a relaxed Pr3Ho3Cd2 crystal. The functional is GGA-PBE. Values from VASP.

The structure in Quantum ESPRESSO input format:
```
&SYSTEM
  ibrav = 0, nat = 16, ntyp = 3
/
ATOMIC_SPECIES
Pr 140.91 Pr.upf
Ho 164.93 Ho.upf
Cd 112.41 Cd.upf
CELL_PARAMETERS angstrom
2.6503 -5.9114 0.0000
2.6503 5.9114 0.0000
0.0000 0.0000 15.9809
ATOMIC_POSITIONS crystal
Pr 0.0375 0.9625 0.6065
Pr 0.0375 0.9625 0.8935
Pr 0.2681 0.7319 0.7500
Pr 0.7319 0.2681 0.2500
Pr 0.9625 0.0375 0.1065
Pr 0.9625 0.0375 0.3935
Ho 0.3572 0.6428 0.5359
Ho 0.3572 0.6428 0.9641
Ho 0.4524 0.5476 0.2500
Ho 0.5476 0.4524 0.7500
Ho 0.6428 0.3572 0.0359
Ho 0.6428 0.3572 0.4641
Cd 0.2375 0.7625 0.1316
Cd 0.2375 0.7625 0.3684
Cd 0.7625 0.2375 0.6316
Cd 0.7625 0.2375 0.8684
```

Space group ... Cmcm, No. 63
Crystal system ... orthorhombic
DFT formation energy ... -72 meV/atom



Entry 8:
This record from the Alexandria database describes a relaxed Sm8CuBi2 crystal. The functional is GGA-PBE. Values from VASP.

The structure in Quantum ESPRESSO input format:
```
&SYSTEM
  ibrav = 0, nat = 11, ntyp = 3
/
ATOMIC_SPECIES
Sm 150.36 Sm.upf
Cu 63.55 Cu.upf
Bi 208.98 Bi.upf
CELL_PARAMETERS angstrom
9.6583 -2.4509 0.0000
9.6583 2.4509 0.0000
-1.0916 0.0000 7.2002
ATOMIC_POSITIONS crystal
Sm 0.0043 0.0043 0.2765
Sm 0.2146 0.2146 0.8472
Sm 0.3530 0.3530 0.4612
Sm 0.4069 0.4069 0.9941
Sm 0.5931 0.5931 0.0059
Sm 0.6470 0.6470 0.5388
Sm 0.7854 0.7854 0.1528
Sm 0.9957 0.9957 0.7235
Cu 0.5000 0.5000 0.5000
Bi 0.1818 0.1818 0.2806
Bi 0.8182 0.8182 0.7194
```

Space group ... C2/m, No. 12
Crystal system ... monoclinic
DFT formation energy ... -280 meV/atom



Entry 9:
This record from the Alexandria database describes a relaxed CeErPuAg crystal. The functional is GGA-PBE. Values from VASP.

The structure in Quantum ESPRESSO input format:
```
&SYSTEM
  ibrav = 0, nat = 16, ntyp = 4
/
ATOMIC_SPECIES
Ce 140.12 Ce.upf
Er 167.26 Er.upf
Pu 244.00 Pu.upf
Ag 107.87 Ag.upf
CELL_PARAMETERS angstrom
7.4079 0.0000 0.0000
0.0000 7.4079 0.0000
0.0000 0.0000 7.4079
ATOMIC_POSITIONS crystal
Ce 0.0000 0.0000 0.0000
Ce 0.0000 0.5000 0.5000
Ce 0.5000 0.0000 0.5000
Ce 0.5000 0.5000 0.0000
Er 0.0000 0.0000 0.5000
Er 0.0000 0.5000 0.0000
Er 0.5000 0.0000 0.0000
Er 0.5000 0.5000 0.5000
Pu 0.2500 0.2500 0.7500
Pu 0.2500 0.7500 0.2500
Pu 0.7500 0.2500 0.2500
Pu 0.7500 0.7500 0.7500
Ag 0.2500 0.2500 0.2500
Ag 0.2500 0.7500 0.7500
Ag 0.7500 0.2500 0.7500
Ag 0.7500 0.7500 0.2500
```

Space group ... F-43m, No. 216
Crystal system ... cubic
DFT formation energy ... 91 meV/atom



Entry 10:
This record from the Alexandria database describes a relaxed AcTb4Ir4 crystal. The functional is GGA-PBE. Values from VASP.

The structure in Quantum ESPRESSO input format:
```
&SYSTEM
  ibrav = 0, nat = 18, ntyp = 3
/
ATOMIC_SPECIES
Ac 227.00 Ac.upf
Tb 158.93 Tb.upf
Ir 192.22 Ir.upf
CELL_PARAMETERS angstrom
9.1540 0.0000 0.0000
0.0000 9.1540 0.0000
0.0000 0.0000 5.6520
ATOMIC_POSITIONS crystal
Ac 0.2500 0.2500 0.2500
Ac 0.7500 0.7500 0.7500
Tb 0.0893 0.6492 0.1511
Tb 0.1492 0.9107 0.6511
Tb 0.3508 0.5893 0.6511
Tb 0.4107 0.8508 0.1511
Tb 0.5893 0.1492 0.8489
Tb 0.6492 0.4107 0.3489
Tb 0.8508 0.0893 0.3489
Tb 0.9107 0.3508 0.8489
Ir 0.0438 0.6101 0.6518
Ir 0.1101 0.9562 0.1518
Ir 0.3899 0.5438 0.1518
Ir 0.4562 0.8899 0.6518
Ir 0.5438 0.1101 0.3482
Ir 0.6101 0.4562 0.8482
Ir 0.8899 0.0438 0.8482
Ir 0.9562 0.3899 0.3482
```

Space group ... P4_2/n, No. 86
Crystal system ... tetragonal
DFT formation energy ... -641 meV/atom



Record-wise total magnetization values, in Bohr magnetons per cell: 0.00 1.67 0.00 0.00 0.00 0.00 0.00 0.00 33.54 0.00